Entry 1:
Material: NaZnIn4
Method: DFT, PBE-GGA
State: optimized geometry

Results
DOS at the Fermi energy	2.94	states/eV/f.u.
magnetization	0.0	μB per cell
space-group type	C2/m (12)
energy above the lowest structure with this stoichiometry	103	meV per atom
DFT formation energy	0.05	eV per atom

Cell lengths 4.4150, 4.4179, 10.4225 Å; angles 77.88, 77.77, 60.02 degrees
Closest atoms and distances in Å follow each position.
Fractional coordinates of all 6 atoms:
Na  0.5000  0.5000  0.5000  6 In 3.30-3.31
Zn  0.0000  0.0000  0.0000  8 In 2.80-2.95
In  0.6285  0.6291  0.1139  3 Zn 2.80, 3 In 3.12-3.13
In  0.3715  0.3709  0.8861  3 Zn 2.80, 3 In 3.12-3.13
In  0.0978  0.0966  0.7079  1 Zn 2.95, 3 In 3.12-3.13, 3 Na 3.30-3.31
In  0.9022  0.9034  0.2921  1 Zn 2.95, 3 In 3.12-3.13, 3 Na 3.30-3.31

***

Entry 2:
Material: Cs3U2Te6Pb
Method: DFT, PBE-GGA
State: optimized geometry

Results
DOS at the Fermi energy	16.71	states/eV/f.u.
energy relative to the elements, uncorrected	-0.84	eV per atom
magnetization	5.0	μB per cell
space-group type	C2/m (12)

Cell lengths 8.0890, 8.0890, 9.2685 Å; angles 98.35, 98.35, 119.95 degrees
Closest atoms and distances in Å follow each position.
Fractional coordinates of all 12 atoms:
Cs  0.1606  0.8394  0.5000  6 Te 3.79-3.89
Cs  0.8394  0.1606  0.5000  6 Te 3.79-3.89
Cs  0.5000  0.5000  0.5000  6 Te 3.76-3.89
U  0.3327  0.6673  0.0000  6 Te 3.13
U  0.6673  0.3327  0.0000  6 Te 3.13
Te  0.9356  0.5854  0.8075  2 U 3.13, 1 Pb 3.31
Te  0.7130  0.7130  0.1898  2 U 3.13, 1 Pb 3.30
Te  0.0644  0.4146  0.1925  2 U 3.13, 1 Pb 3.31
Te  0.5854  0.9356  0.8075  2 U 3.13, 1 Pb 3.31
Te  0.2870  0.2870  0.8102  2 U 3.13, 1 Pb 3.30
Te  0.4146  0.0644  0.1925  2 U 3.13, 1 Pb 3.31
Pb  0.0000  0.0000  0.0000  6 Te 3.30-3.31

***

Entry 3:
Material: Sc3Si3Tc2
Method: DFT, PBE-GGA
State: optimized geometry

Results
DOS at the Fermi energy	7.04	states/eV/f.u.
energy relative to the elements, uncorrected	-0.64	eV per atom
magnetization	0.0	μB per cell
space-group type	Pnma (62)

Cell lengths 5.3200, 7.8841, 13.6569 Å; angles 90.00, 90.00, 90.00 degrees
Closest atoms and distances in Å follow each position.
Fractional coordinates of all 32 atoms:
Sc  0.1054  0.4421  0.3867  5 Si 2.85-3.15, 3 Tc 2.90-3.03
Sc  0.6054  0.0579  0.6133  5 Si 2.85-3.15, 3 Tc 2.90-3.03
Sc  0.8946  0.5579  0.8867  5 Si 2.85-3.15, 3 Tc 2.90-3.03
Sc  0.3946  0.9421  0.1133  5 Si 2.85-3.15, 3 Tc 2.90-3.03
Sc  0.8946  0.5579  0.6133  5 Si 2.85-3.15, 3 Tc 2.90-3.03
Sc  0.3946  0.9421  0.3867  5 Si 2.85-3.15, 3 Tc 2.90-3.03
Sc  0.1054  0.4421  0.1133  5 Si 2.85-3.15, 3 Tc 2.90-3.03
Sc  0.6054  0.0579  0.8867  5 Si 2.85-3.15, 3 Tc 2.90-3.03
Sc  0.6197  0.3024  0.2500  5 Si 2.85-2.99, 4 Tc 3.09-3.10
Sc  0.1197  0.1976  0.7500  5 Si 2.85-2.99, 4 Tc 3.09-3.10
Sc  0.3803  0.6976  0.7500  5 Si 2.85-2.99, 4 Tc 3.09-3.10
Sc  0.8803  0.8024  0.2500  5 Si 2.85-2.99, 4 Tc 3.09-3.10
Si  0.1098  0.1492  0.2500  2 Tc 2.47
Si  0.6098  0.3508  0.7500  2 Tc 2.47
Si  0.8902  0.8508  0.7500  2 Tc 2.47
Si  0.3902  0.6492  0.2500  2 Tc 2.47
Si  0.6274  0.3013  0.4589  3 Tc 2.33-2.39
Si  0.1274  0.1987  0.5411  3 Tc 2.33-2.39
Si  0.3726  0.6987  0.9589  3 Tc 2.33-2.39
Si  0.8726  0.8013  0.0411  3 Tc 2.33-2.39
Si  0.3726  0.6987  0.5411  3 Tc 2.33-2.39
Si  0.8726  0.8013  0.4589  3 Tc 2.33-2.39
Si  0.6274  0.3013  0.0411  3 Tc 2.33-2.39
Si  0.1274  0.1987  0.9589  3 Tc 2.33-2.39
Tc  0.8959  0.0862  0.4064  4 Si 2.33-2.47
Tc  0.3959  0.4138  0.5936  4 Si 2.33-2.47
Tc  0.1041  0.9138  0.9064  4 Si 2.33-2.47
Tc  0.6041  0.5862  0.0936  4 Si 2.33-2.47
Tc  0.1041  0.9138  0.5936  4 Si 2.33-2.47
Tc  0.6041  0.5862  0.4064  4 Si 2.33-2.47
Tc  0.8959  0.0862  0.0936  4 Si 2.33-2.47
Tc  0.3959  0.4138  0.9064  4 Si 2.33-2.47

***

Entry 4:
Material: La2NdDy2
Method: DFT, PBE-GGA
State: optimized geometry

Results
DOS at the Fermi energy	7.36	states/eV/f.u.
magnetization	0.0	μB per cell
space-group type	P-3m1 (164)
energy above the lowest structure with this stoichiometry	0	meV per atom
DFT formation energy	0.03	eV per atom

Cell lengths 3.6352, 3.6352, 15.0140 Å; angles 90.00, 90.00, 120.00 degrees
Closest atoms and distances in Å follow each position.
Fractional coordinates of all 5 atoms:
La  0.3333  0.6667  0.8924  3 Dy 3.63, 9 La 3.64-3.85
La  0.6667  0.3333  0.1076  3 Dy 3.63, 9 La 3.64-3.85
Nd  0.0000  0.0000  0.5000  6 Dy 3.60, 6 Nd 3.64
Dy  0.6667  0.3333  0.6948  3 Nd 3.60, 3 La 3.63, 6 Dy 3.64
Dy  0.3333  0.6667  0.3052  3 Nd 3.60, 3 La 3.63, 6 Dy 3.64

***

Entry 5:
Material: TaSe
Method: DFT, PBE-GGA
State: optimized geometry

Results
DOS at the Fermi energy	1.66	states/eV/f.u.
energy relative to the elements, uncorrected	-0.39	eV per atom
magnetization	0.0	μB per cell
space-group type	P4/nmm (129)

Cell lengths 3.1780, 3.1780, 8.5506 Å; angles 90.00, 90.00, 90.00 degrees
Closest atoms and distances in Å follow each position.
Fractional coordinates of all 4 atoms:
Se  0.2500  0.2500  0.2047  4 Ta 2.65
Se  0.7500  0.7500  0.7953  4 Ta 2.65
Ta  0.2500  0.2500  0.6300  4 Se 2.65
Ta  0.7500  0.7500  0.3700  4 Se 2.65

***

Entry 6:
Material: Li2CuSiO4
Method: DFT, PBE-GGA
State: optimized geometry

Results
DOS at the Fermi energy	4.47	states/eV/f.u.
energy relative to the elements, uncorrected	-1.97	eV per atom
magnetization	2.0	μB per cell
space-group type	Pc (7)
energy above the lowest structure with this stoichiometry	15	meV per atom

Cell lengths 5.4880, 4.9550, 7.8669 Å; angles 52.02, 90.00, 90.00 degrees
Closest atoms and distances in Å follow each position.
Fractional coordinates of all 16 atoms:
Li  0.8279  0.4973  0.9992  4 O 1.94-2.02
Li  0.3482  0.2481  0.2533  4 O 1.98-2.03
Li  0.1721  0.4973  0.4992  4 O 1.94-2.02
Li  0.6518  0.2481  0.7533  4 O 1.98-2.03
Cu  0.1653  0.9912  0.0161  4 O 1.97-2.03
Cu  0.8347  0.9912  0.5161  4 O 1.97-2.03
Si  0.6765  0.7391  0.2524  4 O 1.65-1.66
Si  0.3235  0.7391  0.7524  4 O 1.65-1.66
O  0.8137  0.0645  0.0316  1 Si 1.65
O  0.3912  0.8457  0.2524  1 Si 1.65
O  0.6804  0.4042  0.2547  1 Si 1.65
O  0.8188  0.6273  0.4735  1 Si 1.66
O  0.1863  0.0645  0.5316  1 Si 1.65
O  0.6088  0.8457  0.7524  1 Si 1.65
O  0.3196  0.4042  0.7547  1 Si 1.65
O  0.1812  0.6273  0.9735  1 Si 1.66

***

Entry 7:
Material: Na2CuC
Method: DFT, PBE-GGA
State: optimized geometry

Results
DOS at the Fermi energy	1.37	states/eV/f.u.
magnetization	0.0	μB per cell
space-group type	I4_1/amd (141)
DFT formation energy	0.50	eV per atom

Cell lengths 10.1240, 10.1240, 7.3858 Å; angles 46.74, 46.74, 90.00 degrees
Closest atoms and distances in Å follow each position.
Fractional coordinates of all 8 atoms:
Na  0.3749  0.1250  0.2500  2 C 2.57, 2 Cu 2.87
Na  0.3751  0.6250  0.2500  2 C 2.57, 2 Cu 2.87
Na  0.3750  0.6251  0.7500  2 C 2.57, 2 Cu 2.87
Na  0.8750  0.6249  0.7500  2 C 2.57, 2 Cu 2.87
C  0.5000  0.5000  0.0000  2 Cu 1.82
C  0.2500  0.7500  0.5000  2 Cu 1.82
Cu  0.0000  0.0000  0.0000  2 C 1.82
Cu  0.7500  0.2500  0.5000  2 C 1.82

***

Entry 8:
Material: ZnReMo2
Method: DFT, PBE-GGA
State: optimized geometry

Results
DOS at the Fermi energy	3.10	states/eV/f.u.
magnetization	0.0	μB per cell
space-group type	Cm (8)
DFT formation energy	0.16	eV per atom

Cell lengths 5.1818, 5.1818, 4.3827 Å; angles 64.90, 64.90, 35.56 degrees
Closest atoms and distances in Å follow each position.
Fractional coordinates of all 4 atoms:
Mo  0.0118  0.0118  0.9879  2 Mo 2.65, 4 Re 2.71, 2 Zn 2.82
Mo  0.7520  0.7520  0.7480  2 Re 2.62, 2 Mo 2.65, 4 Zn 2.70
Re  0.4888  0.4888  0.5115  6 Mo 2.62-2.71, 2 Zn 2.78
Zn  0.2474  0.2474  0.2526  8 Mo 2.70-3.03, 2 Re 2.78

***

Entry 9:
Material: CrHRh3
Method: DFT, PBE-GGA
State: optimized geometry

Results
DOS at the Fermi energy	9.95	states/eV/f.u.
magnetization	0.0	μB per cell
space-group type	Pm-3m (221)
energy above the lowest structure with this stoichiometry	102	meV per atom

Cell lengths 3.8495, 3.8495, 3.8495 Å; angles 90.00, 90.00, 90.00 degrees
Closest atoms and distances in Å follow each position.
Fractional coordinates of all 5 atoms:
Cr  0.5000  0.5000  0.5000  12 Rh 2.72
Rh  0.0000  0.5000  0.0000  2 H 1.92
Rh  0.0000  0.0000  0.5000  2 H 1.92
Rh  0.5000  0.0000  0.0000  2 H 1.92
H  0.0000  0.0000  0.0000  6 Rh 1.92

***

Entry 10:
Material: FeTcAg2
Method: DFT, PBE-GGA
State: optimized geometry

Results
DOS at the Fermi energy	4.51	states/eV/f.u.
magnetization	2.7	μB per cell
space-group type	I-4m2 (119)
energy above the lowest structure with this stoichiometry	325	meV per atom
DFT formation energy	0.63	eV per atom

Cell lengths 4.7202, 4.7202, 4.7202 Å; angles 128.92, 128.92, 75.15 degrees
Closest atoms and distances in Å follow each position.
Fractional coordinates of all 4 atoms:
Ag  0.0000  0.0000  0.0000  4 Tc 2.76, 4 Ag 2.76, 4 Fe 2.88
Ag  0.2500  0.7500  0.5000  4 Fe 2.76, 4 Ag 2.76, 4 Tc 2.88
Fe  0.5000  0.5000  0.0000  8 Ag 2.76-2.88, 4 Tc 2.76
Tc  0.7500  0.2500  0.5000  4 Fe 2.76, 8 Ag 2.76-2.88